## a
Entry from Alexandria via LeMat-Bulk: a PBEsol-optimized structure of Cr2HgP (SCAN).

Computed properties:
- Total magnetic moment: 5.72 μB per formula unit
- N(E_F): 2.68 states/eV/cell

a = 3.435 Å, b = 4.600 Å, c = 4.600 Å
α = 60.43°, β = 68.08°, γ = 68.08°
Fractional coordinates of all 4 atoms:
Cr 0.300 0.700 0.700
Cr 0.700 0.300 0.300
P 0.000 0.500 0.500
Hg 0.500 0.000 0.000


## b
Entry from Alexandria via LeMat-Bulk: a PBEsol-optimized structure of Cr2HgP (SCAN).

Computed properties:
- Total magnetic moment: 7.57 μB per formula unit
- N(E_F): 2.40 states/eV/cell

a = 3.323 Å, b = 4.208 Å, c = 4.208 Å
α = 89.94°, β = 90.00°, γ = 90.00°
Fractional coordinates of all 4 atoms:
Hg 0.500 0.000 0.000
Cr 0.000 0.500 0.000
Cr 0.000 0.000 0.500
P 0.500 0.500 0.500


Short version: b is the least stable of them.